P) VASP calculation (PBE) on crystalline Mn2PtW at its relaxed geometry.

Geometry as extended XYZ:
```
4
Lattice="8.918 -0.013 -0.008 8.488 2.738 -0.008 8.488 1.329 2.394" Properties=species:S:1:pos:R:3 pbc="T T T"
W 19.420 3.040 1.784
Mn 0.002 0.000 0.000
Mn 12.945 2.027 1.189
Pt 6.473 1.013 0.595
```

Output
Spin magnetization = 6.297 Bohr magnetons per cell

Q) VASP calculation (PBE) on crystalline Mn2PtW at its relaxed geometry.

Geometry as extended XYZ:
```
4
Lattice="-2.060 2.223 -0.711 -2.246 -2.146 -0.203 -1.197 0.713 5.698" Properties=species:S:1:pos:R:3 pbc="T T T"
Mn -1.193 0.711 5.678
Mn -2.434 0.206 0.878
Pt -0.586 0.349 2.791
W -3.086 0.595 3.985
```

Output
Spin magnetization = 4.339 Bohr magnetons per cell

It is Q) that is the most stable of them.